# AgSn2Hg | Alexandria | PBE | optimized geometry
# - total energy (eV/atom) = -2.6520
# - formation energy (eV/atom) = 0.14
data_AgSn2Hg
_chemical_formula_sum 'Ag4 Sn8 Hg4'
_space_group_name_H-M_alt 'I -4 2 d'
_space_group_IT_number 122
_space_group_name_Hall 'I -4 2bw'
_cell_length_a 8.164
_cell_length_b 8.164
_cell_length_c 6.154
_cell_angle_alpha 90.00
_cell_angle_beta 90.00
_cell_angle_gamma 90.00
loop_
_atom_site_label
_atom_site_type_symbol
_atom_site_fract_x
_atom_site_fract_y
_atom_site_fract_z
_atom_site_occupancy
Ag1 Ag 0.000 0.000 0.000 1
Sn1 Sn 0.228 0.250 0.125 1
Hg1 Hg 0.000 0.000 0.500 1